i:
Density functional theory data (PBE) for a geometry-optimized ZnPt3S structure.

Values from the calculation:
- SG: Pm-3m
- Calculated volume: 19.9 Å³/atom

Unit cell a=4.636 b=4.636 c=4.636 alpha=90.00 beta=90.00 gamma=90.00
Element x y z (fractional)
Zn: 0.000 0.000 0.000
S: 0.500 0.500 0.500
Pt: 0.000 0.500 0.000
Pt: 0.000 0.000 0.500
Pt: 0.500 0.000 0.000

ii:
Density functional theory data (PBE) for a geometry-optimized ZnPt3S structure.

Values from the calculation:
- SG: Pm-3m
- Calculated volume: 18.4 Å³/atom

Unit cell a=4.513 b=4.513 c=4.513 alpha=90.00 beta=90.00 gamma=90.00
Element x y z (fractional)
Zn: 0.500 0.500 0.500
S: 0.000 0.000 0.000
Pt: 0.000 0.500 0.000
Pt: 0.000 0.000 0.500
Pt: 0.500 0.000 0.000

Of them, i has the lowest stability.

i:
Density functional theory data (PBE) for a geometry-optimized Sb2Pt3 structure.

Values from the calculation:
- SG: Ibam
- Calculated volume: 19.7 Å³/atom

Unit cell a=6.998 b=6.998 c=6.998 alpha=134.68 beta=123.91 gamma=74.86
Element x y z (fractional)
Pt: 0.000 0.750 0.750
Pt: 0.000 0.250 0.250
Pt: 0.480 0.609 0.871
Pt: 0.520 0.391 0.129
Pt: 0.738 0.109 0.629
Pt: 0.262 0.891 0.371
Sb: 0.606 0.845 0.761
Sb: 0.394 0.155 0.239
Sb: 0.084 0.345 0.739
Sb: 0.916 0.655 0.261

ii:
Density functional theory data (PBE) for a geometry-optimized Sb2Pt3 structure.

Values from the calculation:
- SG: R-3c
- Calculated volume: 21.2 Å³/atom

Unit cell a=6.746 b=6.746 c=6.634 alpha=59.44 beta=59.44 gamma=60.00
Element x y z (fractional)
Sb: 0.889 0.889 0.333
Sb: 0.389 0.389 0.833
Sb: 0.111 0.111 0.667
Sb: 0.611 0.611 0.167
Pt: 0.992 0.750 0.750
Pt: 0.750 0.508 0.750
Pt: 0.508 0.992 0.750
Pt: 0.250 0.492 0.250
Pt: 0.492 0.008 0.250
Pt: 0.008 0.250 0.250

iii:
Density functional theory data (PBE) for a geometry-optimized Sb2Pt3 structure.

Values from the calculation:
- SG: P-3m1
- Calculated volume: 20.5 Å³/atom

Unit cell a=4.505 b=4.505 c=5.829 alpha=90.00 beta=90.00 gamma=120.00
Element x y z (fractional)
Sb: 0.667 0.333 0.292
Sb: 0.333 0.667 0.708
Pt: 0.000 0.000 0.000
Pt: 0.667 0.333 0.785
Pt: 0.333 0.667 0.215

Of them, ii has the lowest stability.